DFT (meta-GGA SCAN) results for a PBEsol-optimized structure of KAg3B.

abc: 4.516 4.516 4.516
angles: 90.00 90.00 90.00
Space group Pm-3m (No. 221)
Inequivalent atoms, fractional coordinates:
K  0.000  0.000  0.000 x1
Ag  0.000  0.500  0.500 x3
B  0.500  0.500  0.500 x1

Summary:
Theoretical density, g cm⁻³: 6.736
Energy relative to the elements, eV/atom: 0.334

DFT (meta-GGA SCAN) results for a PBEsol-optimized structure of Zr2NiIr.

abc: 3.196 3.196 6.522
angles: 90.00 90.00 90.00
Space group P4/mmm (No. 123)
Inequivalent atoms, fractional coordinates:
Zr  0.000  0.000  0.243 x2
Ni  0.500  0.500  0.000 x1
Ir  0.500  0.500  0.500 x1

Summary:
Theoretical density, g cm⁻³: 10.804
Energy relative to the elements, eV/atom: -0.700

DFT (meta-GGA SCAN) results for a PBEsol-optimized structure of Al2Bi2Sb.

abc: 7.707 7.707 4.153
angles: 90.00 90.00 90.00
Space group P4/mbm (No. 127)
Inequivalent atoms, fractional coordinates:
Al  0.124  0.376  0.000 x4
Bi  0.179  0.679  0.500 x4
Sb  0.000  0.000  0.000 x2

Summary:
Energy relative to the elements, uncorrected, meV/atom: 252
Theoretical density, g cm⁻³: 7.995

DFT (meta-GGA SCAN) results for a PBEsol-optimized structure of LiAg2Rh.

abc: 2.664 4.215 5.406
angles: 90.00 101.08 90.00
Space group P2/m (No. 10)
Inequivalent atoms, fractional coordinates:
Li  0.000  0.000  0.000 x1
Ag  0.419  0.500  0.246 x2
Rh  0.000  0.000  0.500 x1

Summary:
Theoretical density, g cm⁻³: 9.074
Energy relative to the elements, eV/atom: 0.033

DFT (meta-GGA SCAN) results for a PBEsol-optimized structure of La2MgAg.

abc: 3.549 3.549 8.487
angles: 90.00 90.00 90.00
Space group P4mm (No. 99)
Inequivalent atoms, fractional coordinates:
La  0.000  0.000  0.000 x1
La  0.500  0.500  0.313 x1
Mg  0.000  0.000  0.593 x1
Ag  0.500  0.500  0.753 x1

Summary:
Theoretical density, g cm⁻³: 6.368
Energy relative to the elements, eV/atom: -0.138

DFT (meta-GGA SCAN) results for a PBEsol-optimized structure of Bi4O3F7.

abc: 5.680 3.883 8.304
angles: 90.00 90.96 90.00
Space group Pm (No. 6)
Inequivalent atoms, fractional coordinates:
Bi  0.000  0.000  0.000 x1
Bi  0.004  0.000  0.490 x1
Bi  0.516  0.500  0.734 x1
Bi  0.574  0.500  0.239 x1
O  0.743  0.500  0.997 x1
O  0.744  0.500  0.484 x1
O  0.823  0.000  0.242 x1
F  0.119  0.500  0.709 x1
F  0.203  0.500  0.388 x1
F  0.220  0.500  0.057 x1
F  0.355  0.000  0.222 x1
F  0.391  0.000  0.877 x1
F  0.415  0.000  0.569 x1
F  0.799  0.000  0.742 x1

Summary:
Energy relative to the elements, uncorrected, meV/atom: -1926
Theoretical density, g cm⁻³: 9.222

DFT (meta-GGA SCAN) results for a PBEsol-optimized structure of Y2CrFe.

abc: 4.775 4.775 3.444
angles: 90.00 90.00 90.00
Space group P4/mmm (No. 123)
Inequivalent atoms, fractional coordinates:
Y  0.000  0.500  0.000 x2
Cr  0.000  0.000  0.500 x1
Fe  0.500  0.500  0.500 x1

Summary:
Theoretical density, g cm⁻³: 6.041
Energy relative to the elements, eV/atom: 0.209
E above lowest polymorph, meV per atom: 0

DFT (meta-GGA SCAN) results for a PBEsol-optimized structure of Be2TlP.

abc: 3.087 3.087 6.364
angles: 90.00 90.00 90.00
Space group P4/mmm (No. 123)
Inequivalent atoms, fractional coordinates:
Be  0.000  0.000  0.159 x2
Tl  0.500  0.500  0.500 x1
P  0.500  0.500  0.000 x1

Summary:
Theoretical density, g cm⁻³: 6.937
Energy relative to the elements, eV/atom: 0.545
E above lowest polymorph, meV per atom: 390

| no. | final energy (eV/atom) |
| --- | --- |
| 1 | -21.6381 |
| 2 | -37.8671 |
| 3 | -41.7326 |
| 4 | -24.6912 |
| 5 | -30.7759 |
| 6 | -27.4826 |
| 7 | -22.8407 |
| 8 | -22.3211 |